Record 1
# PBE PmPr3Pb4, optimized geometry
# Excess energy over the best structure of this formula in the dataset (kJ/mol of formula units): 0.0
# E_form (eV/atom): -0.517
data_PmPr3Pb4
_chemical_formula_sum 'Pm2 Pr6 Pb8'
_cell_length_a 19.0979
_cell_length_b 5.1504
_cell_length_c 5.1532
_cell_angle_alpha 90.00
_cell_angle_beta 105.55
_cell_angle_gamma 90.00
_space_group_name_H-M_alt 'C 1 2/m 1'
_space_group_IT_number 12
_space_group_name_Hall '-C 2y'
loop_
_atom_site_label
_atom_site_fract_x
_atom_site_fract_y
_atom_site_fract_z
Pm1 0.0000 0.0000 0.0000
Pr1 0.0000 0.5000 0.5000
Pr2 0.2499 0.0000 0.2499
Pb1 0.1242 0.0000 0.6241
Pb2 0.1242 0.5000 0.1242

---

Record 2
# PBE Pm8Pr2Pb, optimized geometry
# E_form (eV/atom): -0.077
data_Pm8Pr2Pb
_chemical_formula_sum 'Pm16 Pr4 Pb2'
_cell_length_a 18.5886
_cell_length_b 5.0555
_cell_length_c 8.1475
_cell_angle_alpha 90.00
_cell_angle_beta 105.15
_cell_angle_gamma 90.00
_space_group_name_H-M_alt 'C 1 2/m 1'
_space_group_IT_number 12
_space_group_name_Hall '-C 2y'
loop_
_atom_site_label
_atom_site_fract_x
_atom_site_fract_y
_atom_site_fract_z
Pm1 0.0435 0.0000 0.2279
Pm2 0.0889 0.5000 0.9397
Pm3 0.1362 0.0000 0.6780
Pm4 0.1785 0.5000 0.4079
Pr1 0.2228 0.0000 0.1347
Pb1 0.0000 0.5000 0.5000

---

Record 3
# PBE PmPr4Pb4, optimized geometry
# E_form (eV/atom): -0.320
data_PmPr4Pb4
_chemical_formula_sum 'Pm2 Pr8 Pb8'
_cell_length_a 9.8166
_cell_length_b 9.8166
_cell_length_c 6.5755
_cell_angle_alpha 90.00
_cell_angle_beta 90.00
_cell_angle_gamma 90.00
_space_group_name_H-M_alt 'P 42/n'
_space_group_IT_number 86
loop_
_space_group_symop_operation_xyz
'x,y,z'
'-x,-y,-z'
'-y,x+1/2,z+1/2'
'y,-x+1/2,-z+1/2'
'-x+1/2,-y+1/2,z'
'x+1/2,y+1/2,-z'
'y+1/2,-x,z+1/2'
'-y+1/2,x,-z+1/2'
loop_
_atom_site_label
_atom_site_fract_x
_atom_site_fract_y
_atom_site_fract_z
Pm1 0.2500 0.2500 0.2500
Pr1 0.0335 0.6664 0.1274
Pb1 0.0307 0.6485 0.6201

---

Record 4
# PBE Pm3Pr2Pb2, optimized geometry
# E_form (eV/atom): -0.183
data_Pm3Pr2Pb2
_chemical_formula_sum 'Pm6 Pr4 Pb4'
_cell_length_a 17.2622
_cell_length_b 3.6105
_cell_length_c 8.3119
_cell_angle_alpha 90.00
_cell_angle_beta 116.18
_cell_angle_gamma 90.00
_space_group_name_H-M_alt 'C 1 2/m 1'
_space_group_IT_number 12
_space_group_name_Hall '-C 2y'
loop_
_atom_site_label
_atom_site_fract_x
_atom_site_fract_y
_atom_site_fract_z
Pm1 0.0000 0.0000 0.0000
Pm2 0.2118 0.0000 0.1408
Pr1 0.1219 0.0000 0.4732
Pb1 0.0778 0.5000 0.7671

---

Record 5
# PBE Pm3PrPb4, optimized geometry
# Excess energy over the best structure of this formula in the dataset (kJ/mol of formula units): 77.5
# E_form (eV/atom): -0.408
data_Pm3PrPb4
_chemical_formula_sum 'Pm6 Pr2 Pb8'
_cell_length_a 8.9436
_cell_length_b 12.9132
_cell_length_c 4.6754
_cell_angle_alpha 90.00
_cell_angle_beta 90.00
_cell_angle_gamma 90.00
_space_group_name_H-M_alt 'C m m m'
_space_group_IT_number 65
_space_group_name_Hall '-C 2 2'
loop_
_atom_site_label
_atom_site_fract_x
_atom_site_fract_y
_atom_site_fract_z
Pm1 0.0000 0.0000 0.0000
Pm2 0.2500 0.2500 0.5000
Pr1 0.0000 0.5000 0.0000
Pb1 0.0000 0.2485 0.0000
Pb2 0.2468 0.0000 0.5000

---

Record 6
# PBE Pm3Pr2Pb4, optimized geometry
# Excess energy over the best structure of this formula in the dataset (kJ/mol of formula units): 129.2
# E_form (eV/atom): -0.448
data_Pm3Pr2Pb4
_chemical_formula_sum 'Pm12 Pr8 Pb16'
_cell_length_a 7.2978
_cell_length_b 17.6765
_cell_length_c 9.2454
_cell_angle_alpha 90.00
_cell_angle_beta 90.00
_cell_angle_gamma 90.00
_space_group_name_H-M_alt 'C m c e'
_space_group_IT_number 64
_space_group_name_Hall '-C 2ac 2'
loop_
_atom_site_label
_atom_site_fract_x
_atom_site_fract_y
_atom_site_fract_z
Pm1 0.0000 0.0000 0.0000
Pm2 0.2500 0.2057 0.2500
Pr1 0.0000 0.1108 0.5900
Pb1 0.0000 0.1848 0.9432
Pb2 0.2500 0.0290 0.2500

---

Record 7
# PBE PmPr2Pb3, optimized geometry
# Excess energy over the best structure of this formula in the dataset (kJ/mol of formula units): 4.6
# E_form (eV/atom): -0.484
data_PmPr2Pb3
_chemical_formula_sum 'Pm4 Pr8 Pb12'
_cell_length_a 5.9493
_cell_length_b 17.8821
_cell_length_c 6.9562
_cell_angle_alpha 90.00
_cell_angle_beta 90.00
_cell_angle_gamma 90.00
_space_group_name_H-M_alt 'C m m m'
_space_group_IT_number 65
_space_group_name_Hall '-C 2 2'
loop_
_atom_site_label
_atom_site_fract_x
_atom_site_fract_y
_atom_site_fract_z
Pm1 0.0000 0.1665 0.0000
Pr1 0.0000 0.1662 0.5000
Pr2 0.0000 0.5000 0.0000
Pr3 0.0000 0.5000 0.5000
Pb1 0.0000 0.0000 0.2464
Pb2 0.0000 0.3325 0.2454

---

Record 8
# PBE PmPr6Pb4, optimized geometry
# E_form (eV/atom): -0.222
data_PmPr6Pb4
_chemical_formula_sum 'Pm2 Pr12 Pb8'
_cell_length_a 8.2341
_cell_length_b 8.2341
_cell_length_c 12.2793
_cell_angle_alpha 90.00
_cell_angle_beta 90.00
_cell_angle_gamma 90.00
_space_group_name_H-M_alt 'I -4 2 m'
_space_group_IT_number 121
_space_group_name_Hall 'I -4 2'
loop_
_atom_site_label
_atom_site_fract_x
_atom_site_fract_y
_atom_site_fract_z
Pm1 0.0000 0.0000 0.0000
Pr1 0.0000 0.5000 0.0000
Pr2 0.1581 0.1581 0.3353
Pb1 0.2295 0.2295 0.5999

---

Record 9
# PBE Pm3PrPb2, optimized geometry
# Excess energy over the best structure of this formula in the dataset (kJ/mol of formula units): 136.4
# E_form (eV/atom): -0.202
data_Pm3PrPb2
_chemical_formula_sum 'Pm12 Pr4 Pb8'
_cell_length_a 7.6911
_cell_length_b 15.0213
_cell_length_c 7.6729
_cell_angle_alpha 90.00
_cell_angle_beta 90.00
_cell_angle_gamma 90.00
_space_group_name_H-M_alt 'I b a m'
_space_group_IT_number 72
_space_group_name_Hall '-I 2 2c'
loop_
_atom_site_label
_atom_site_fract_x
_atom_site_fract_y
_atom_site_fract_z
Pm1 0.0000 0.0000 0.2500
Pm2 0.0000 0.2879 0.2500
Pr1 0.0000 0.5000 0.0000
Pb1 0.1837 0.1421 0.0000

---

Record 10
# PBE Pm3Pr2Pb, optimized geometry
# Excess energy over the best structure of this formula in the dataset (kJ/mol of formula units): 0.0
# E_form (eV/atom): -0.187
data_Pm3Pr2Pb
_chemical_formula_sum 'Pm6 Pr4 Pb2'
_cell_length_a 4.9889
_cell_length_b 15.7706
_cell_length_c 5.0022
_cell_angle_alpha 90.00
_cell_angle_beta 90.00
_cell_angle_gamma 90.00
_space_group_name_H-M_alt 'C m m m'
_space_group_IT_number 65
_space_group_name_Hall '-C 2 2'
loop_
_atom_site_label
_atom_site_fract_x
_atom_site_fract_y
_atom_site_fract_z
Pm1 0.0000 0.0000 0.0000
Pm2 0.0000 0.3372 0.0000
Pr1 0.0000 0.1621 0.5000
Pb1 0.0000 0.5000 0.5000

---

Record 11
# PBE Pm8Pr5Pb, optimized geometry
# E_form (eV/atom): 0.094
data_Pm8Pr5Pb
_chemical_formula_sum 'Pm16 Pr10 Pb2'
_cell_length_a 14.5597
_cell_length_b 9.1708
_cell_length_c 9.2446
_cell_angle_alpha 90.00
_cell_angle_beta 126.59
_cell_angle_gamma 90.00
_space_group_name_H-M_alt 'C 1 2 1'
_space_group_IT_number 5
_space_group_name_Hall 'C 2y'
loop_
_atom_site_label
_atom_site_fract_x
_atom_site_fract_y
_atom_site_fract_z
Pm1 0.0813 0.0000 0.4361
Pm2 0.1727 0.3656 0.6429
Pm3 0.2342 0.2328 0.3265
Pm4 0.2347 0.5518 0.0441
Pr1 0.0000 0.9183 0.0000
Pr2 0.0498 0.2590 0.8685
Pr3 0.0919 0.5831 0.2490
Pb1 0.0000 0.6656 0.5000

---

Record 12
# PBE PmPr2Pb3, optimized geometry
# Excess energy over the best structure of this formula in the dataset (kJ/mol of formula units): 0.0
# E_form (eV/atom): -0.492
data_PmPr2Pb3
_chemical_formula_sum 'Pm4 Pr8 Pb12'
_cell_length_a 9.7236
_cell_length_b 14.8175
_cell_length_c 5.9451
_cell_angle_alpha 90.00
_cell_angle_beta 116.23
_cell_angle_gamma 90.00
_space_group_name_H-M_alt 'C 1 2/c 1'
_space_group_IT_number 15
_space_group_name_Hall '-C 2yc'
loop_
_atom_site_label
_atom_site_fract_x
_atom_site_fract_y
_atom_site_fract_z
Pm1 0.0000 0.0840 0.2500
Pr1 0.0000 0.2510 0.7500
Pr2 0.0000 0.4170 0.2500
Pb1 0.2471 0.0822 0.0026
Pb2 0.2500 0.2500 0.5000

---

Record 13
# PBE Pm6Pr2Pb, optimized geometry
# E_form (eV/atom): 0.049
data_Pm6Pr2Pb
_chemical_formula_sum 'Pm12 Pr4 Pb2'
_cell_length_a 12.5495
_cell_length_b 7.1707
_cell_length_c 7.0572
_cell_angle_alpha 90.00
_cell_angle_beta 90.56
_cell_angle_gamma 90.00
_space_group_name_H-M_alt 'C 1 2/m 1'
_space_group_IT_number 12
_space_group_name_Hall '-C 2y'
loop_
_atom_site_label
_atom_site_fract_x
_atom_site_fract_y
_atom_site_fract_z
Pm1 0.0883 0.2397 0.1811
Pm2 0.1777 0.5000 0.8148
Pr1 0.1638 0.0000 0.6608
Pb1 0.0000 0.5000 0.5000

---

Record 14
# PBE Pm6PrPb6, optimized geometry
# E_form (eV/atom): -0.317
data_Pm6PrPb6
_chemical_formula_sum 'Pm6 Pr1 Pb6'
_cell_length_a 7.4035
_cell_length_b 7.4035
_cell_length_c 9.4758
_cell_angle_alpha 90.00
_cell_angle_beta 90.00
_cell_angle_gamma 120.00
_space_group_name_H-M_alt 'P 6/m m m'
_space_group_IT_number 191
_space_group_name_Hall '-P 6 2'
loop_
_atom_site_label
_atom_site_fract_x
_atom_site_fract_y
_atom_site_fract_z
Pm1 0.0000 0.5000 0.2474
Pr1 0.0000 0.0000 0.5000
Pb1 0.0000 0.0000 0.1628
Pb2 0.3333 0.6667 0.0000
Pb3 0.3333 0.6667 0.5000

---

Record 15
# PBE PmPr3Pb4, optimized geometry
# Excess energy over the best structure of this formula in the dataset (kJ/mol of formula units): 87.7
# E_form (eV/atom): -0.404
data_PmPr3Pb4
_chemical_formula_sum 'Pm2 Pr6 Pb8'
_cell_length_a 3.7284
_cell_length_b 7.4769
_cell_length_c 18.9896
_cell_angle_alpha 90.00
_cell_angle_beta 90.00
_cell_angle_gamma 90.00
_space_group_name_H-M_alt 'I m m m'
_space_group_IT_number 71
_space_group_name_Hall '-I 2 2'
loop_
_atom_site_label
_atom_site_fract_x
_atom_site_fract_y
_atom_site_fract_z
Pm1 0.0000 0.0000 0.0000
Pr1 0.0000 0.0000 0.5000
Pr2 0.0000 0.5000 0.2813
Pb1 0.0000 0.2840 0.1271

---

Record 16
# PBE PmPrRuPb, optimized geometry
# E_form (eV/atom): -0.159
data_PmPrRuPb
_chemical_formula_sum 'Pm4 Pr4 Ru4 Pb4'
_cell_length_a 7.4791
_cell_length_b 7.4791
_cell_length_c 7.4791
_cell_angle_alpha 90.00
_cell_angle_beta 90.00
_cell_angle_gamma 90.00
_space_group_name_H-M_alt 'F -4 3 m'
_space_group_IT_number 216
_space_group_name_Hall 'F -4 2 3'
loop_
_atom_site_label
_atom_site_fract_x
_atom_site_fract_y
_atom_site_fract_z
Pm1 0.0000 0.0000 0.0000
Pr1 0.0000 0.0000 0.5000
Ru1 0.2500 0.2500 0.2500
Pb1 0.2500 0.2500 0.7500

---

Record 17
# PBE PmPr3Pb2S, optimized geometry
# Formation energy without anion corrections (eV per atom): -0.80
data_PmPr3Pb2S
_chemical_formula_sum 'Pm2 Pr6 Pb4 S2'
_cell_length_a 5.2521
_cell_length_b 5.3165
_cell_length_c 16.8205
_cell_angle_alpha 90.00
_cell_angle_beta 90.00
_cell_angle_gamma 90.00
_space_group_name_H-M_alt 'I m m m'
_space_group_IT_number 71
_space_group_name_Hall '-I 2 2'
loop_
_atom_site_label
_atom_site_fract_x
_atom_site_fract_y
_atom_site_fract_z
Pm1 0.0000 0.0000 0.0000
Pr1 0.0000 0.0000 0.5000
Pr2 0.0000 0.5000 0.3307
Pb1 0.0000 0.5000 0.1361
S1 0.0000 0.5000 0.5000

---

Record 18
# PBE PmPrSbPb, optimized geometry
# Formation energy without anion corrections (eV per atom): -0.61
data_PmPrSbPb
_chemical_formula_sum 'Pm4 Pr4 Sb4 Pb4'
_cell_length_a 7.8602
_cell_length_b 7.8602
_cell_length_c 7.8602
_cell_angle_alpha 90.00
_cell_angle_beta 90.00
_cell_angle_gamma 90.00
_space_group_name_H-M_alt 'F -4 3 m'
_space_group_IT_number 216
_space_group_name_Hall 'F -4 2 3'
loop_
_atom_site_label
_atom_site_fract_x
_atom_site_fract_y
_atom_site_fract_z
Pm1 0.0000 0.0000 0.0000
Pr1 0.0000 0.0000 0.5000
Sb1 0.2500 0.2500 0.7500
Pb1 0.2500 0.2500 0.2500

---

Record 19
# PBE PmPrScPb, optimized geometry
# E_form (eV/atom): -0.143
data_PmPrScPb
_chemical_formula_sum 'Pm4 Pr4 Sc4 Pb4'
_cell_length_a 7.8164
_cell_length_b 7.8164
_cell_length_c 7.8164
_cell_angle_alpha 90.00
_cell_angle_beta 90.00
_cell_angle_gamma 90.00
_space_group_name_H-M_alt 'F -4 3 m'
_space_group_IT_number 216
_space_group_name_Hall 'F -4 2 3'
loop_
_atom_site_label
_atom_site_fract_x
_atom_site_fract_y
_atom_site_fract_z
Pm1 0.0000 0.0000 0.0000
Pr1 0.0000 0.0000 0.5000
Sc1 0.2500 0.2500 0.2500
Pb1 0.2500 0.2500 0.7500

---

Record 20
# PBE Pm3Pr2Sm6Pb, optimized geometry
# E_form (eV/atom): -0.067
data_Pm3Pr2Sm6Pb
_chemical_formula_sum 'Pm6 Pr4 Sm12 Pb2'
_cell_length_a 6.2420
_cell_length_b 10.8266
_cell_length_c 12.0098
_cell_angle_alpha 90.00
_cell_angle_beta 100.11
_cell_angle_gamma 90.00
_space_group_name_H-M_alt 'C 1 2/m 1'
_space_group_IT_number 12
_space_group_name_Hall '-C 2y'
loop_
_atom_site_label
_atom_site_fract_x
_atom_site_fract_y
_atom_site_fract_z
Pm1 0.0000 0.0000 0.0000
Pm2 0.0000 0.3313 0.0000
Pr1 0.0000 0.1660 0.5000
Sm1 0.2415 0.5000 0.2500
Sm2 0.2447 0.3377 0.7482
Pb1 0.0000 0.5000 0.5000

---

Record 21
# PBE TbPmPrPb, optimized geometry
# E_form (eV/atom): -0.148
data_TbPmPrPb
_chemical_formula_sum 'Tb4 Pm4 Pr4 Pb4'
_cell_length_a 7.9216
_cell_length_b 7.9216
_cell_length_c 7.9216
_cell_angle_alpha 90.00
_cell_angle_beta 90.00
_cell_angle_gamma 90.00
_space_group_name_H-M_alt 'F -4 3 m'
_space_group_IT_number 216
_space_group_name_Hall 'F -4 2 3'
loop_
_atom_site_label
_atom_site_fract_x
_atom_site_fract_y
_atom_site_fract_z
Tb1 0.0000 0.0000 0.0000
Pm1 0.2500 0.2500 0.2500
Pr1 0.2500 0.2500 0.7500
Pb1 0.0000 0.0000 0.5000

---

Record 22
# PBE Tb6Pm3Pr2Pb, optimized geometry
# E_form (eV/atom): -0.071
data_Tb6Pm3Pr2Pb
_chemical_formula_sum 'Tb12 Pm6 Pr4 Pb2'
_cell_length_a 6.1880
_cell_length_b 10.7210
_cell_length_c 11.8777
_cell_angle_alpha 90.00
_cell_angle_beta 100.07
_cell_angle_gamma 90.00
_space_group_name_H-M_alt 'C 1 2/m 1'
_space_group_IT_number 12
_space_group_name_Hall '-C 2y'
loop_
_atom_site_label
_atom_site_fract_x
_atom_site_fract_y
_atom_site_fract_z
Tb1 0.2430 0.0000 0.2505
Tb2 0.2450 0.1629 0.7483
Pm1 0.0000 0.1681 0.0000
Pm2 0.0000 0.5000 0.0000
Pr1 0.0000 0.3338 0.5000
Pb1 0.0000 0.0000 0.5000

---

Record 23
# PBE PmPrTePb, optimized geometry
# Formation energy without anion corrections (eV per atom): -0.78
# Excess energy over the best structure of this formula in the dataset (kJ/mol of formula units): 102.0
data_PmPrTePb
_chemical_formula_sum 'Pm4 Pr4 Te4 Pb4'
_cell_length_a 7.8625
_cell_length_b 7.8625
_cell_length_c 7.8625
_cell_angle_alpha 90.00
_cell_angle_beta 90.00
_cell_angle_gamma 90.00
_space_group_name_H-M_alt 'F -4 3 m'
_space_group_IT_number 216
_space_group_name_Hall 'F -4 2 3'
loop_
_atom_site_label
_atom_site_fract_x
_atom_site_fract_y
_atom_site_fract_z
Pm1 0.0000 0.0000 0.0000
Pr1 0.0000 0.0000 0.5000
Te1 0.2500 0.2500 0.2500
Pb1 0.2500 0.2500 0.7500

---

Number 1: raw total energy -4.76 eV per atom. Number 2: raw total energy -4.74 eV per atom. Number 3: raw total energy -4.62 eV per atom. Number 4: raw total energy -4.64 eV per atom. Number 5: raw total energy -4.64 eV per atom. Number 6: raw total energy -4.74 eV per atom. Number 7: raw total energy -4.72 eV per atom. Number 8: raw total energy -4.61 eV per atom. Number 9: raw total energy -4.61 eV per atom. Number 10: raw total energy -4.77 eV per atom. Number 11: raw total energy -4.59 eV per atom. Number 12: raw total energy -4.73 eV per atom. Number 13: raw total energy -4.59 eV per atom. Number 14: raw total energy -4.59 eV per atom. Number 15: raw total energy -4.64 eV per atom. Number 16: raw total energy -5.79 eV per atom. Number 17: raw total energy -5.18 eV per atom. Number 18: raw total energy -4.95 eV per atom. Number 19: raw total energy -5.04 eV per atom. Number 20: raw total energy -4.72 eV per atom. Number 21: raw total energy -4.61 eV per atom. Number 22: raw total energy -4.68 eV per atom. Number 23: raw total energy -4.87 eV per atom.